Tb2Er5TmSc (PBE, relaxed); calculated formation energy = 162.7 meV/atom; space-group type = Cmc2_1, No. 36; total energy = -4.601 eV per atom
1.0
2.738 -9.894 0.000
2.738 9.894 0.000
0.000 0.000 10.260
Tb Er Tm Sc
4 10 2 2
direct
0.111 0.889 0.500 Tb
0.114 0.886 0.078 Tb
0.886 0.114 0.578 Tb
0.889 0.111 0.000 Tb
0.017 0.983 0.796 Er
0.275 0.725 0.494 Er
0.300 0.700 0.109 Er
0.377 0.623 0.793 Er
0.482 0.518 0.074 Er
0.518 0.482 0.574 Er
0.623 0.377 0.293 Er
0.700 0.300 0.609 Er
0.725 0.275 0.994 Er
0.983 0.017 0.296 Er
0.408 0.592 0.357 Tm
0.592 0.408 0.857 Tm
0.195 0.805 0.799 Sc
0.805 0.195 0.299 Sc